{
  "formula": "KAg2Hg",
  "functional": "PBE",
  "state": "optimized geometry",
  "lattice_angstrom": [[-4.558, -0.192, 1.984], [1.029, -1.960, 2.173], [1.896, 4.485, 4.791]],
  "species": ["Ag", "K", "Hg", "Ag"],
  "fractional_positions": [[0.000, 0.440, 0.438], [0.500, 0.750, 0.750], [0.500, 0.250, 0.250], [0.000, 0.060, 0.062]],
  "m_tot_mub_per_cell": 0.00,
  "spacegroup": "P2/m, No. 10",
  "formation_energy_ev_per_atom": 0.101,
  "n_ef_per_ev_cell": 1.08
}

=====

{
  "formula": "KAgHg2",
  "functional": "PBE",
  "state": "optimized geometry",
  "lattice_angstrom": [[4.980, -0.026, 0.016], [2.495, 4.310, 0.016], [2.486, 1.425, 5.822]],
  "species": ["Hg", "Hg", "K", "Ag"],
  "fractional_positions": [[0.715, 0.715, 0.856], [0.967, 0.967, 0.099], [0.508, 0.508, 0.476], [0.311, 0.311, 0.069]],
  "m_tot_mub_per_cell": 0.00,
  "spacegroup": "Cm, No. 8",
  "formation_energy_ev_per_atom": -0.116,
  "n_ef_per_ev_cell": 1.40
}

=====

{
  "formula": "K3Ag2Hg3",
  "functional": "PBE",
  "state": "optimized geometry",
  "lattice_angstrom": [[-4.385, -1.323, 2.076], [1.887, -4.131, -4.736], [8.230, -9.346, 11.429]],
  "species": ["K", "Ag", "Hg", "Hg", "K", "Hg", "K", "Hg", "Hg", "K", "Hg", "K", "Ag", "Ag", "K", "Ag"],
  "fractional_positions": [[0.375, 0.751, 0.750], [0.211, 0.422, 0.399], [0.623, 0.245, 0.037], [0.377, 0.755, 0.537], [0.083, 0.167, 0.605], [0.623, 0.245, 0.463], [0.917, 0.833, 0.105], [0.670, 0.339, 0.750], [0.377, 0.755, 0.963], [0.625, 0.249, 0.250], [0.330, 0.661, 0.250], [0.083, 0.167, 0.895], [0.211, 0.422, 0.101], [0.789, 0.578, 0.899], [0.917, 0.833, 0.395], [0.789, 0.578, 0.601]],
  "m_tot_mub_per_cell": 0.00,
  "spacegroup": "Cmcm, No. 63",
  "formation_energy_ev_per_atom": -0.156,
  "n_ef_per_ev_cell": 4.98
}

=====

{
  "formula": "K2AgHg3",
  "functional": "PBE",
  "state": "optimized geometry",
  "lattice_angstrom": [[4.833, 0.000, 2.024], [2.200, 5.932, 1.530], [0.096, -0.186, 6.552]],
  "species": ["K", "Hg", "Ag", "K", "Hg", "Hg"],
  "fractional_positions": [[0.446, 0.806, 0.303], [0.855, 0.592, 0.697], [0.168, 0.402, 0.263], [0.550, 0.193, 0.708], [0.821, 0.235, 0.123], [0.161, 0.771, 0.906]],
  "m_tot_mub_per_cell": 0.00,
  "spacegroup": "Cm, No. 8",
  "formation_energy_ev_per_atom": -0.195,
  "n_ef_per_ev_cell": 2.91
}

=====

{
  "formula": "KAgHg2",
  "functional": "PBE",
  "state": "optimized geometry",
  "lattice_angstrom": [[5.090, 0.000, 0.000], [0.000, 3.685, -0.095], [0.000, 0.286, 6.245]],
  "species": ["K", "Hg", "Ag", "Hg"],
  "fractional_positions": [[0.500, 0.250, 0.250], [0.000, 0.763, 0.988], [0.500, 0.750, 0.750], [0.000, 0.737, 0.512]],
  "m_tot_mub_per_cell": 0.00,
  "spacegroup": "P2/m, No. 10",
  "formation_energy_ev_per_atom": -0.075,
  "n_ef_per_ev_cell": 1.03
}

=====

{
  "formula": "K2AgHg3",
  "functional": "PBE",
  "state": "optimized geometry",
  "lattice_angstrom": [[-1.869, 3.380, 1.233], [-0.363, -1.960, 4.823], [7.944, 3.635, 2.075]],
  "species": ["K", "Hg", "Hg", "Hg", "K", "Ag"],
  "fractional_positions": [[0.000, 0.000, 0.497], [0.500, 0.500, 0.654], [0.500, 0.000, 0.180], [0.500, 0.000, 0.837], [0.000, 0.500, 0.005], [0.500, 0.500, 0.328]],
  "m_tot_mub_per_cell": 0.00,
  "spacegroup": "Pmm2, No. 25",
  "formation_energy_ev_per_atom": -0.173,
  "n_ef_per_ev_cell": 2.45
}

=====

{
  "formula": "KAgHg2",
  "functional": "PBE",
  "state": "optimized geometry",
  "lattice_angstrom": [[-1.635, -1.097, 5.094], [4.702, -2.611, 0.947], [5.537, 6.469, 6.097]],
  "species": ["Hg", "Ag", "K", "Hg", "Hg", "Hg", "Ag", "K"],
  "fractional_positions": [[0.875, 0.017, 0.750], [0.750, 0.250, 0.500], [0.250, 0.750, 0.500], [0.983, 0.625, 0.250], [0.767, 0.125, 0.250], [0.375, 0.233, 0.750], [0.000, 0.000, 0.000], [0.500, 0.500, 0.000]],
  "m_tot_mub_per_cell": 0.00,
  "spacegroup": "I-42d, No. 122",
  "formation_energy_ev_per_atom": -0.034,
  "n_ef_per_ev_cell": 3.36
}

=====

{
  "formula": "KAgHg",
  "functional": "PBE",
  "state": "optimized geometry",
  "lattice_angstrom": [[5.025, 0.000, 0.000], [-2.512, 4.352, 0.000], [0.000, 0.000, 4.298]],
  "species": ["Hg", "Ag", "K"],
  "fractional_positions": [[0.667, 0.333, 0.166], [0.000, 0.000, 0.167], [0.333, 0.667, 0.667]],
  "m_tot_mub_per_cell": 0.00,
  "spacegroup": "P-6m2, No. 187",
  "formation_energy_ev_per_atom": -0.102,
  "n_ef_per_ev_cell": 0.92
}